(1)
A crystal of Se3IF relaxed with PBEsol, computed with SCAN.

Results
DOS(E_F): 1.566 states/eV/atom
Final energy: -95.92 eV per formula unit

Geometry as CIF:
```
data_Se3IF
_chemical_formula_sum 'Se3 I1 F1'
_cell_length_a 5.322
_cell_length_b 5.322
_cell_length_c 5.322
_cell_angle_alpha 90.00
_cell_angle_beta 90.00
_cell_angle_gamma 90.00
_space_group_name_H-M_alt 'P m -3 m'
_space_group_IT_number 221
_space_group_name_Hall '-P 4 2 3'
loop_
_atom_site_label
_atom_site_fract_x
_atom_site_fract_y
_atom_site_fract_z
_atom_site_occupancy
Se1 0.000 0.000 0.500 1
I1 0.000 0.000 0.000 1
F1 0.500 0.500 0.500 1
```

---

(2)
A crystal of SeIF2 relaxed with PBEsol, computed with SCAN.

Results
DOS(E_F): 0.432 states/eV/atom
Final energy: -65.29 eV per formula unit

Geometry as CIF:
```
data_SeIF2
_chemical_formula_sum 'Se3 I3 F6'
_cell_length_a 3.1914
_cell_length_b 3.1914
_cell_length_c 28.5051
_cell_angle_alpha 90.00
_cell_angle_beta 90.00
_cell_angle_gamma 120.00
_space_group_name_H-M_alt 'R -3 m'
_space_group_IT_number 166
_space_group_name_Hall '-R 3 2"'
loop_
_atom_site_label
_atom_site_fract_x
_atom_site_fract_y
_atom_site_fract_z
_atom_site_occupancy
Se1 0.0000 0.0000 0.0000 1
I1 0.0000 0.0000 0.5000 1
F1 0.0000 0.0000 0.4301 1
```

---

(3)
A crystal of SrIF relaxed with PBEsol, computed with SCAN.

Results
DOS(E_F): 0.000 states/eV/atom
Final energy: -71.80 eV per formula unit

Geometry as CIF:
```
data_SrIF
_chemical_formula_sum 'Sr2 I2 F2'
_cell_length_a 4.202
_cell_length_b 4.202
_cell_length_c 8.880
_cell_angle_alpha 90.00
_cell_angle_beta 90.00
_cell_angle_gamma 90.00
_space_group_name_H-M_alt 'P 4/n m m'
_space_group_IT_number 129
loop_
_space_group_symop_operation_xyz
'x,y,z'
'-x,-y,-z'
'-y+1/2,x,z'
'y+1/2,-x,-z'
'-x+1/2,-y+1/2,z'
'x+1/2,y+1/2,-z'
'y,-x+1/2,z'
'-y,x+1/2,-z'
'x+1/2,-y,-z'
'-x+1/2,y,z'
'-y,-x,-z'
'y,x,z'
'-x,y+1/2,-z'
'x,-y+1/2,z'
'y+1/2,x+1/2,-z'
'-y+1/2,-x+1/2,z'
loop_
_atom_site_label
_atom_site_fract_x
_atom_site_fract_y
_atom_site_fract_z
_atom_site_occupancy
Sr1 0.250 0.250 0.151 1
I1 0.250 0.250 0.668 1
F1 0.250 0.750 0.000 1
```

---

(4)
A crystal of TcI2F relaxed with PBEsol, computed with SCAN.

Results
DOS(E_F): 0.515 states/eV/atom
Final energy: -112.07 eV per formula unit

Geometry as CIF:
```
data_TcI2F
_chemical_formula_sum 'Tc4 I8 F4'
_cell_length_a 6.686
_cell_length_b 6.686
_cell_length_c 9.046
_cell_angle_alpha 90.00
_cell_angle_beta 90.00
_cell_angle_gamma 90.00
_space_group_name_H-M_alt 'I -4 2 d'
_space_group_IT_number 122
_space_group_name_Hall 'I -4 2bw'
loop_
_atom_site_label
_atom_site_fract_x
_atom_site_fract_y
_atom_site_fract_z
_atom_site_occupancy
Tc1 0.000 0.000 0.000 1
I1 0.227 0.750 0.125 1
F1 0.000 0.000 0.500 1
```

---

(5)
A crystal of TiTeI2F relaxed with PBEsol, computed with SCAN.

Results
DOS(E_F): 0.632 states/eV/atom
Final energy: -132.16 eV per formula unit

Geometry as CIF:
```
data_TiTeI2F
_chemical_formula_sum 'Ti1 Te1 I2 F1'
_cell_length_a 5.295
_cell_length_b 5.295
_cell_length_c 5.204
_cell_angle_alpha 90.00
_cell_angle_beta 90.00
_cell_angle_gamma 90.00
_space_group_name_H-M_alt 'P 4/m m m'
_space_group_IT_number 123
_space_group_name_Hall '-P 4 2'
loop_
_atom_site_label
_atom_site_fract_x
_atom_site_fract_y
_atom_site_fract_z
_atom_site_occupancy
Ti1 0.000 0.000 0.000 1
Te1 0.000 0.000 0.500 1
I1 0.000 0.500 0.000 1
F1 0.500 0.500 0.500 1
```

---

(6)
A crystal of ZnTeI2F relaxed with PBEsol, computed with SCAN.

Results
DOS(E_F): 0.858 states/eV/atom
Final energy: -127.35 eV per formula unit

Geometry as CIF:
```
data_ZnTeI2F
_chemical_formula_sum 'Zn1 Te1 I2 F1'
_cell_length_a 5.774
_cell_length_b 5.774
_cell_length_c 4.183
_cell_angle_alpha 90.00
_cell_angle_beta 90.00
_cell_angle_gamma 90.00
_space_group_name_H-M_alt 'P 4/m m m'
_space_group_IT_number 123
_space_group_name_Hall '-P 4 2'
loop_
_atom_site_label
_atom_site_fract_x
_atom_site_fract_y
_atom_site_fract_z
_atom_site_occupancy
Zn1 0.000 0.000 0.000 1
Te1 0.500 0.500 0.000 1
I1 0.000 0.500 0.500 1
F1 0.500 0.500 0.500 1
```

---

(7)
A crystal of ZrTe2IF relaxed with PBEsol, computed with SCAN.

Results
DOS(E_F): 0.910 states/eV/atom
Final energy: -147.36 eV per formula unit

Geometry as CIF:
```
data_ZrTe2IF
_chemical_formula_sum 'Zr1 Te2 I1 F1'
_cell_length_a 5.472
_cell_length_b 5.472
_cell_length_c 5.555
_cell_angle_alpha 90.00
_cell_angle_beta 90.00
_cell_angle_gamma 90.00
_space_group_name_H-M_alt 'P 4/m m m'
_space_group_IT_number 123
_space_group_name_Hall '-P 4 2'
loop_
_atom_site_label
_atom_site_fract_x
_atom_site_fract_y
_atom_site_fract_z
_atom_site_occupancy
Zr1 0.000 0.000 0.000 1
Te1 0.000 0.500 0.000 1
I1 0.000 0.000 0.500 1
F1 0.500 0.500 0.500 1
```

---

(8)
A crystal of TiIF3 relaxed with PBEsol, computed with SCAN.

Results
DOS(E_F): 0.925 states/eV/atom
Final energy: -74.37 eV per formula unit

Geometry as CIF:
```
data_TiIF3
_chemical_formula_sum 'Ti1 I1 F3'
_cell_length_a 4.161
_cell_length_b 4.161
_cell_length_c 4.161
_cell_angle_alpha 90.00
_cell_angle_beta 90.00
_cell_angle_gamma 90.00
_space_group_name_H-M_alt 'P m -3 m'
_space_group_IT_number 221
_space_group_name_Hall '-P 4 2 3'
loop_
_atom_site_label
_atom_site_fract_x
_atom_site_fract_y
_atom_site_fract_z
_atom_site_occupancy
Ti1 0.000 0.000 0.000 1
I1 0.500 0.500 0.500 1
F1 0.000 0.000 0.500 1
```

---

What did the third record say?
A crystal of SrIF relaxed with PBEsol, computed with SCAN.

Results
DOS(E_F): 0.000 states/eV/atom
Final energy: -71.80 eV per formula unit

Geometry as CIF:
```
data_SrIF
_chemical_formula_sum 'Sr2 I2 F2'
_cell_length_a 4.202
_cell_length_b 4.202
_cell_length_c 8.880
_cell_angle_alpha 90.00
_cell_angle_beta 90.00
_cell_angle_gamma 90.00
_space_group_name_H-M_alt 'P 4/n m m'
_space_group_IT_number 129
loop_
_space_group_symop_operation_xyz
'x,y,z'
'-x,-y,-z'
'-y+1/2,x,z'
'y+1/2,-x,-z'
'-x+1/2,-y+1/2,z'
'x+1/2,y+1/2,-z'
'y,-x+1/2,z'
'-y,x+1/2,-z'
'x+1/2,-y,-z'
'-x+1/2,y,z'
'-y,-x,-z'
'y,x,z'
'-x,y+1/2,-z'
'x,-y+1/2,z'
'y+1/2,x+1/2,-z'
'-y+1/2,-x+1/2,z'
loop_
_atom_site_label
_atom_site_fract_x
_atom_site_fract_y
_atom_site_fract_z
_atom_site_occupancy
Sr1 0.250 0.250 0.151 1
I1 0.250 0.250 0.668 1
F1 0.250 0.750 0.000 1
```

---

final energy of number 5 (TiTeI2F)? -132.16 eV per formula unit